1.
## GaNiRu (PBE-GGA)

Data for an optimized crystal structure of GaNiRu.

Computed properties:
Electronic total energy in eV for the cell shown: -37.352
Total magnetic moment in μB/f.u.: 0.00
Formation energy from the elements in eV/atom: -0.197

Structure (POSCAR):
```
GaNiRu
1.0
-1.8315 -2.3763 2.9037
4.1651 0.1670 -0.2381
0.0276 3.9867 3.2800
Ga Ru Ni
2 2 2
Direct
0.6667 0.3333 0.5403
0.3333 0.6667 0.9085
0.3333 0.6667 0.3901
0.0000 0.0000 0.7313
0.0000 0.0000 0.2177
0.6667 0.3333 0.0515
```

2.
## Ga4NiRu3 (PBE-GGA)

Data for an optimized crystal structure of Ga4NiRu3.

Computed properties:
Electronic total energy in eV for the cell shown: -48.605
Total magnetic moment in μB/f.u.: 0.00
Formation energy from the elements in eV/atom: -0.361

Structure (POSCAR):
```
Ga4NiRu3
1.0
-1.9198 0.1208 2.4099
0.9636 -3.9550 0.9660
6.3181 2.7352 4.8962
Ru Ga Ni
3 4 1
Direct
0.5000 0.5000 0.5000
0.5000 0.0000 0.7626
0.5000 0.0000 0.2374
0.0000 0.5000 0.7504
0.0000 0.0000 0.0000
0.0000 0.5000 0.2496
0.0000 0.0000 0.5000
0.5000 0.5000 0.0000
```

3.
## GaNiRu3 (PBE-GGA)

Data for an optimized crystal structure of GaNiRu3.

Computed properties:
Electronic total energy in eV for the cell shown: -30.051
Total magnetic moment in μB/f.u.: 5.40
Formation energy from the elements in eV/atom: 1.317

Structure (POSCAR):
```
GaNiRu3
1.0
4.4458 0.0000 0.0000
0.0000 4.4458 0.0000
0.0000 0.0000 4.4458
Ru Ni Ga
3 1 1
Direct
0.0000 0.5000 0.0000
0.0000 0.0000 0.5000
0.5000 0.0000 0.0000
0.0000 0.0000 0.0000
0.5000 0.5000 0.5000
```

4.
## GaNiRu (PBE-GGA)

Data for an optimized crystal structure of GaNiRu.

Computed properties:
Electronic total energy in eV for the cell shown: -37.017
Total magnetic moment in μB/f.u.: 0.00
Formation energy from the elements in eV/atom: -0.141

Structure (POSCAR):
```
GaNiRu
1.0
4.4007 0.0000 0.0110
0.0000 2.7816 0.0000
-1.2562 0.0000 6.5064
Ru Ni Ga
2 2 2
Direct
0.4508 0.5000 0.6409
0.2317 0.0000 0.3088
0.7869 0.0000 0.9768
0.7385 0.5000 0.3008
0.2926 0.5000 0.9889
0.9371 0.0000 0.6231
```

5.
## GaNi14Ru (PBE-GGA)

Data for an optimized crystal structure of GaNi14Ru.

Computed properties:
Electronic total energy in eV for the cell shown: -93.456
Total magnetic moment in μB/f.u.: 8.56
Formation energy from the elements in eV/atom: -0.013

Structure (POSCAR):
```
GaNi14Ru
1.0
5.0369 -0.3123 0.0000
-2.2615 4.5116 0.0000
0.0000 0.0000 8.2201
Ni Ru Ga
14 1 1
Direct
0.8742 0.1258 0.2473
0.5392 0.9566 0.5000
0.8742 0.1258 0.7527
0.8754 0.6236 0.7545
0.2078 0.2912 0.0000
0.3749 0.6251 0.2468
0.2088 0.7912 0.0000
0.0434 0.4608 0.5000
0.8754 0.6236 0.2455
0.3764 0.1246 0.2455
0.3764 0.1246 0.7545
0.7085 0.2915 0.0000
0.3749 0.6251 0.7532
0.7088 0.7922 0.0000
0.5407 0.4593 0.5000
0.0409 0.9591 0.5000
```

6.
## GaNiRu (PBE-GGA)

Data for an optimized crystal structure of GaNiRu.

Computed properties:
Electronic total energy in eV for the cell shown: -73.725
Total magnetic moment in μB/f.u.: 0.00
Formation energy from the elements in eV/atom: -0.116

Structure (POSCAR):
```
GaNiRu
1.0
-2.0574 -6.8253 1.5328
2.5596 -0.6218 0.6670
0.0884 7.2060 6.3777
Ni Ga Ru
4 4 4
Direct
0.1861 0.0000 0.2952
0.8382 0.0000 0.2837
0.8382 0.5000 0.7837
0.1861 0.5000 0.7952
0.8935 0.5000 0.0584
0.8935 0.0000 0.5584
0.5267 0.0000 0.5658
0.5267 0.5000 0.0658
0.1955 0.5000 0.5345
0.1955 0.0000 0.0345
0.5206 0.5000 0.3256
0.5206 0.0000 0.8256
```

7.
## GaNiRu (PBE-GGA)

Data for an optimized crystal structure of GaNiRu.

Computed properties:
Electronic total energy in eV for the cell shown: -73.996
Total magnetic moment in μB/f.u.: 0.00
Formation energy from the elements in eV/atom: -0.138

Structure (POSCAR):
```
GaNiRu
1.0
5.1743 0.0000 -0.0027
0.0000 4.5567 0.0000
-4.2504 0.0000 6.6975
Ni Ru Ga
4 4 4
Direct
0.0035 0.4352 0.1670
0.9965 0.9352 0.3330
0.9965 0.4352 0.8330
0.0035 0.9352 0.6670
0.5072 0.0996 0.6685
0.4928 0.5996 0.8315
0.4928 0.0996 0.3315
0.5072 0.5996 0.1685
0.0000 0.4221 0.5000
0.5000 0.6058 0.5000
0.0000 0.9221 0.0000
0.5000 0.1058 0.0000
```

8.
## Ga3NiRu2 (PBE-GGA)

Data for an optimized crystal structure of Ga3NiRu2.

Computed properties:
Electronic total energy in eV for the cell shown: -35.461
Total magnetic moment in μB/f.u.: 0.00
Formation energy from the elements in eV/atom: -0.341

Structure (POSCAR):
```
Ga3NiRu2
1.0
3.0365 0.0000 0.0000
0.0000 3.0365 0.0000
0.0000 0.0000 8.7841
Ni Ga Ru
1 3 2
Direct
0.5000 0.5000 0.5000
0.0000 0.0000 0.3377
0.0000 0.0000 0.6623
0.0000 0.0000 0.0000
0.5000 0.5000 0.1754
0.5000 0.5000 0.8246
```

9.
## Ga2Ni2Ru (PBE-GGA)

Data for an optimized crystal structure of Ga2Ni2Ru.

Computed properties:
Electronic total energy in eV for the cell shown: -27.214
Total magnetic moment in μB/f.u.: 0.00
Formation energy from the elements in eV/atom: -0.064
Distance to the lowest polymorph of the same formula in eV per atom: 0.107

Structure (POSCAR):
```
Ga2Ni2Ru
1.0
3.3932 0.0000 0.0000
0.0000 3.3932 0.0000
1.6966 1.6966 5.8846
Ga Ru Ni
2 1 2
Direct
0.6062 0.6062 0.7875
0.3938 0.3938 0.2125
0.0000 0.0000 0.0000
0.2500 0.7500 0.5000
0.7500 0.2500 0.5000
```

10.
## GaNiRu (PBE-GGA)

Data for an optimized crystal structure of GaNiRu.

Computed properties:
Electronic total energy in eV for the cell shown: -18.389
Total magnetic moment in μB/f.u.: 0.00
Formation energy from the elements in eV/atom: -0.102

Structure (POSCAR):
```
GaNiRu
1.0
-2.7861 -0.5529 -0.5697
0.6327 -0.2908 -2.8120
1.8445 -4.1077 2.3320
Ru Ga Ni
1 1 1
Direct
0.3341 0.3341 0.6682
0.6590 0.6590 0.3180
0.0069 0.0069 0.0138
```

11.
## Ga3Ni12Ru (PBE-GGA)

Data for an optimized crystal structure of Ga3Ni12Ru.

Computed properties:
Electronic total energy in eV for the cell shown: -90.841
Total magnetic moment in μB/f.u.: 1.94
Formation energy from the elements in eV/atom: -0.194

Structure (POSCAR):
```
Ga3Ni12Ru
1.0
3.5923 0.0000 0.0000
0.0000 3.5923 0.0000
0.0000 0.0000 14.2893
Ga Ni Ru
3 12 1
Direct
0.0000 0.0000 0.5000
0.0000 0.0000 0.7467
0.0000 0.0000 0.2533
0.5000 0.0000 0.6246
0.5000 0.0000 0.3754
0.0000 0.5000 0.8755
0.0000 0.5000 0.6246
0.5000 0.5000 0.5000
0.5000 0.5000 0.0000
0.5000 0.5000 0.2496
0.5000 0.0000 0.8755
0.0000 0.5000 0.1245
0.5000 0.0000 0.1245
0.5000 0.5000 0.7504
0.0000 0.5000 0.3754
0.0000 0.0000 0.0000
```

12.
## GaNiRu (PBE-GGA)

Data for an optimized crystal structure of GaNiRu.

Computed properties:
Electronic total energy in eV for the cell shown: -74.413
Total magnetic moment in μB/f.u.: 0.00
Formation energy from the elements in eV/atom: -0.173

Structure (POSCAR):
```
GaNiRu
1.0
-0.9161 -3.5845 2.3624
2.7076 -0.7804 -0.1342
2.9218 8.5327 9.3280
Ga Ru Ni
4 4 4
Direct
0.3887 0.0000 0.4954
0.3887 0.5000 0.9954
0.7778 0.0000 0.3127
0.7778 0.5000 0.8127
0.2768 0.5000 0.3251
0.2768 0.0000 0.8251
0.2973 0.0000 0.1557
0.2973 0.5000 0.6557
0.8796 0.0000 0.9817
0.8172 0.5000 0.1491
0.8172 0.0000 0.6491
0.8796 0.5000 0.4817
```

13.
## GaNi2Ru2 (PBE-GGA)

Data for an optimized crystal structure of GaNi2Ru2.

Computed properties:
Electronic total energy in eV for the cell shown: -63.699
Total magnetic moment in μB/f.u.: 0.00
Formation energy from the elements in eV/atom: 0.258

Structure (POSCAR):
```
GaNi2Ru2
1.0
-0.2912 6.7506 0.6184
-2.3262 -0.6809 6.3375
2.7317 0.0257 1.0055
Ga Ru Ni
2 4 4
Direct
0.0000 0.0000 0.0000
0.5000 0.5000 0.0000
0.6745 0.8255 0.5000
0.8255 0.3255 0.5000
0.3255 0.1745 0.5000
0.1745 0.6745 0.5000
0.6209 0.1209 0.0000
0.3791 0.8791 0.0000
0.1209 0.3791 0.0000
0.8791 0.6209 0.0000
```

14.
## Ga6Ni5Ru (PBE-GGA)

Data for an optimized crystal structure of Ga6Ni5Ru.

Computed properties:
Electronic total energy in eV for the cell shown: -60.520
Total magnetic moment in μB/f.u.: 0.00
Formation energy from the elements in eV/atom: -0.348

Structure (POSCAR):
```
Ga6Ni5Ru
1.0
7.0952 0.6189 0.0000
2.1561 3.5877 0.0000
1.0780 1.7939 6.3311
Ga Ni Ru
6 5 1
Direct
0.7484 0.4208 0.6617
0.2516 0.9175 0.6617
0.7399 0.7601 0.0000
0.2601 0.2399 0.0000
0.2516 0.5792 0.3383
0.7484 0.0825 0.3383
0.5000 0.1701 0.6597
0.0000 0.3356 0.3288
0.5000 0.8299 0.3403
0.5000 0.5000 0.0000
0.0000 0.6644 0.6712
0.0000 0.0000 0.0000
```

15.
## GaNiRu2 (PBE-GGA)

Data for an optimized crystal structure of GaNiRu2.

Computed properties:
Electronic total energy in eV for the cell shown: -50.881
Total magnetic moment in μB/f.u.: 0.41
Formation energy from the elements in eV/atom: 0.480

Structure (POSCAR):
```
GaNiRu2
1.0
-0.2110 -5.7824 -3.5442
6.2092 1.2617 -2.4281
4.0171 -3.4987 -1.0265
Ni Ru Ga
2 4 2
Direct
0.5000 0.5000 0.0000
0.2500 0.7500 0.5000
0.1328 0.6250 0.2500
0.3750 0.3828 0.7500
0.8750 0.8672 0.7500
0.6172 0.1250 0.2500
0.0000 0.0000 0.0000
0.7500 0.2500 0.5000
```

16.
## Ga4NiRu2 (PBE-GGA)

Data for an optimized crystal structure of Ga4NiRu2.

Computed properties:
Electronic total energy in eV for the cell shown: -38.339
Total magnetic moment in μB/f.u.: 0.00
Formation energy from the elements in eV/atom: -0.271

Structure (POSCAR):
```
Ga4NiRu2
1.0
4.0481 0.0000 1.2647
1.8265 3.6126 1.2647
0.0013 0.0008 7.1068
Ga Ru Ni
4 2 1
Direct
0.6136 0.6136 0.1592
0.8699 0.8699 0.3902
0.3864 0.3864 0.8408
0.1301 0.1301 0.6098
0.2579 0.2579 0.2263
0.7421 0.7421 0.7737
0.0000 0.0000 0.0000
```

17.
## Ga5Ni4Ru (PBE-GGA)

Data for an optimized crystal structure of Ga5Ni4Ru.

Computed properties:
Electronic total energy in eV for the cell shown: -51.122
Total magnetic moment in μB/f.u.: 0.00
Formation energy from the elements in eV/atom: -0.359

Structure (POSCAR):
```
Ga5Ni4Ru
1.0
2.9917 0.0000 0.0000
0.0000 2.9917 0.0000
0.0000 0.0000 14.2567
Ga Ni Ru
5 4 1
Direct
0.5000 0.5000 0.3034
0.5000 0.5000 0.6966
0.5000 0.5000 0.8958
0.5000 0.5000 0.1042
0.5000 0.5000 0.5000
0.0000 0.0000 0.7946
0.0000 0.0000 0.4005
0.0000 0.0000 0.2054
0.0000 0.0000 0.5995
0.0000 0.0000 0.0000
```

18.
## GaNiRu (PBE-GGA)

Data for an optimized crystal structure of GaNiRu.

Computed properties:
Electronic total energy in eV for the cell shown: -74.597
Total magnetic moment in μB/f.u.: 0.00
Formation energy from the elements in eV/atom: -0.188

Structure (POSCAR):
```
GaNiRu
1.0
-1.7779 -1.6516 -1.8493
3.3487 -1.9310 -1.4948
-1.0747 -8.6296 8.7400
Ni Ga Ru
4 4 4
Direct
0.0000 0.0000 0.9310
0.0000 0.5000 0.4310
0.5000 0.0000 0.0943
0.5000 0.5000 0.5943
0.5000 0.0000 0.4339
0.5000 0.0000 0.7641
0.5000 0.5000 0.9339
0.5000 0.5000 0.2641
0.0000 0.0000 0.5950
0.0000 0.0000 0.2620
0.0000 0.5000 0.0950
0.0000 0.5000 0.7620
```

19.
## ScGa4Ni2Ru (PBE-GGA)

Data for an optimized crystal structure of ScGa4Ni2Ru.

Computed properties:
Electronic total energy in eV for the cell shown: -42.458
Total magnetic moment in μB/f.u.: 0.00
Formation energy from the elements in eV/atom: -0.398

Structure (POSCAR):
```
ScGa4Ni2Ru
1.0
4.0862 0.0000 0.0000
2.0431 3.5387 0.0000
2.0431 1.1796 8.3699
Ga Ni Sc Ru
4 2 1 1
Direct
0.8722 0.8722 0.3834
0.1278 0.1278 0.6166
0.3959 0.3959 0.8122
0.6041 0.6041 0.1878
0.2374 0.2374 0.2878
0.7626 0.7626 0.7122
0.0000 0.0000 0.0000
0.5000 0.5000 0.5000
```

20.
## ScGa4NiRu2 (PBE-GGA)

Data for an optimized crystal structure of ScGa4NiRu2.

Computed properties:
Electronic total energy in eV for the cell shown: -46.022
Total magnetic moment in μB/f.u.: 0.00
Formation energy from the elements in eV/atom: -0.406

Structure (POSCAR):
```
ScGa4NiRu2
1.0
4.2686 0.0000 0.0000
2.1343 3.6967 0.0000
2.1343 1.2322 7.5342
Ga Ni Sc Ru
4 1 1 2
Direct
0.1302 0.1302 0.6095
0.6111 0.6111 0.1666
0.8698 0.8698 0.3905
0.3889 0.3889 0.8334
0.5000 0.5000 0.5000
0.0000 0.0000 0.0000
0.7559 0.7559 0.7322
0.2441 0.2441 0.2678
```

21.
## Sc2Ga5NiRu2 (PBE-GGA)

Data for an optimized crystal structure of Sc2Ga5NiRu2.

Computed properties:
Electronic total energy in eV for the cell shown: -111.897
Total magnetic moment in μB/f.u.: 0.00
Formation energy from the elements in eV/atom: -0.382

Structure (POSCAR):
```
Sc2Ga5NiRu2
1.0
-1.1024 2.0746 -2.1173
-4.0102 -7.6339 -5.3919
-8.6476 0.8052 5.2916
Ru Ga Sc Ni
4 10 4 2
Direct
0.0000 0.1318 0.6318
0.0000 0.6318 0.8682
0.0000 0.8682 0.3682
0.0000 0.3682 0.1318
0.5000 0.4472 0.3140
0.5000 0.8140 0.9472
0.5000 0.1860 0.0528
0.5000 0.5528 0.6860
0.5000 0.6860 0.4472
0.5000 0.0528 0.8140
0.5000 0.0000 0.5000
0.5000 0.3140 0.5528
0.5000 0.9472 0.1860
0.5000 0.5000 0.0000
0.0000 0.1841 0.3159
0.0000 0.6841 0.1841
0.0000 0.8159 0.6841
0.0000 0.3159 0.8159
0.0000 0.5000 0.5000
0.0000 0.0000 0.0000
```

22.
## Sc4GaNiRu2 (PBE-GGA)

Data for an optimized crystal structure of Sc4GaNiRu2.

Computed properties:
Electronic total energy in eV for the cell shown: -57.373
Total magnetic moment in μB/f.u.: 0.00
Formation energy from the elements in eV/atom: -0.586

Structure (POSCAR):
```
Sc4GaNiRu2
1.0
4.5791 0.0000 0.0000
2.2896 3.9656 0.0000
2.2896 1.3219 7.4803
Ru Sc Ga Ni
2 4 1 1
Direct
0.7490 0.7490 0.7529
0.2510 0.2510 0.2471
0.1281 0.1281 0.6156
0.8719 0.8719 0.3844
0.6212 0.6212 0.1364
0.3788 0.3788 0.8636
0.0000 0.0000 0.0000
0.5000 0.5000 0.5000
```

23.
## Sc3Ga3NiRu2 (PBE-GGA)

Data for an optimized crystal structure of Sc3Ga3NiRu2.

Computed properties:
Electronic total energy in eV for the cell shown: -57.765
Total magnetic moment in μB/f.u.: 0.00
Formation energy from the elements in eV/atom: -0.595

Structure (POSCAR):
```
Sc3Ga3NiRu2
1.0
3.4510 0.0000 0.0000
0.0000 7.0617 0.0000
0.0000 -3.5309 6.1156
Ni Sc Ru Ga
1 3 2 3
Direct
0.0000 0.0000 0.0000
0.0000 0.0000 0.3973
0.0000 0.3973 0.0000
0.0000 0.6027 0.6027
0.5000 0.3333 0.6667
0.5000 0.6667 0.3333
0.5000 0.0000 0.7403
0.5000 0.7403 0.0000
0.5000 0.2597 0.2597
```